First-principles (GGA-PBE) data for a relaxed Ta2CrCuGe crystal, as listed in Alexandria.

**Total energy**: -36.97 eV/f.u.

The structure in extended XYZ format:
```
5
Lattice="-0.238 -3.421 -3.046 -0.257 -2.974 3.361 -4.573 0.352 -0.038" Properties=species:S:1:pos:R:3 pbc="T T T"
Ge -0.129 -1.487 1.681
Ta -2.287 0.176 -0.019
Ta -0.119 -1.711 -1.523
Cu -2.534 -3.022 0.139
Cr 0.000 0.000 0.000
```